Ac4ErZn5 (PBE, optimized geometry); SG = No. 123; E_form = -2.5 eV per formula unit
1.0
3.837 0.000 0.000
0.000 3.837 0.000
0.000 0.000 19.163
Ac Er Zn
4 1 5
Direct
0.000 0.000 0.811
0.000 0.000 0.603
0.000 0.000 0.397
0.000 0.000 0.189
0.000 0.000 0.000
0.500 0.500 0.500
0.500 0.500 0.294
0.500 0.500 0.922
0.500 0.500 0.706
0.500 0.500 0.078